A relaxed structure of PdPt8Rh3, computed with PBE-GGA.

a = 4.6718 Å, b = 6.5787 Å, c = 7.2048 Å
α = 108.57°, β = 95.59°, γ = 91.11°
With the nearest neighbours (Å) after each atom.
Space group P1 (No. 1)
One atom of each set of equivalent atoms:
Pd: 0.0000 0.0000 0.0000  3 Rh 2.64-2.76, 7 Pt 2.67-2.80
Pt: 0.0627 0.1423 0.3960  5 Rh 2.66-2.80, 4 Pt 2.66-2.83, 1 Pd 2.69
Pt: 0.1259 0.2793 0.7979  5 Pt 2.65-2.85, 3 Rh 2.68-2.80, 1 Pd 2.77
Pt: 0.3839 0.7812 0.3914  5 Pt 2.66-2.83, 4 Rh 2.66-2.78
Pt: 0.4540 0.9180 0.7957  4 Pt 2.65-2.85, 2 Pd 2.67-2.77, 4 Rh 2.69-2.79
Pt: 0.6411 0.3364 0.0017  6 Pt 2.59-2.78, 2 Rh 2.69-2.76, 1 Pd 2.80
Pt: 0.7201 0.4615 0.3966  3 Rh 2.63-2.67, 5 Pt 2.66-2.71
Pt: 0.7845 0.5948 0.7933  2 Rh 2.62-2.68, 5 Pt 2.65-2.71, 1 Pd 2.72
Pt: 0.8600 0.7205 0.1892  6 Pt 2.59-2.79, 1 Pd 2.72, 2 Rh 2.74-2.76
Rh: 0.5209 0.0610 0.1947  2 Pd 2.64-2.73, 7 Pt 2.67-2.76, 1 Rh 2.72
Rh: 0.5852 0.2016 0.5953  9 Pt 2.62-2.79, 2 Rh 2.72-2.81
Rh: 0.9276 0.8548 0.5931  9 Pt 2.63-2.80, 1 Pd 2.76, 1 Rh 2.81

Computed properties:
- Final energy: -6.088 eV/atom
- DOS at the Fermi energy: 17.0 states/eV per cell
- Crystal system: triclinic

A relaxed structure of SrCeEuNbO6, computed with PBE-GGA.

a = 8.5561 Å, b = 8.5561 Å, c = 8.5561 Å
α = 90.00°, β = 90.00°, γ = 90.00°
With the nearest neighbours (Å) after each atom.
Space group F-43m (No. 216)
One atom of each set of equivalent atoms:
Sr: 0.0000 0.0000 0.0000  12 O 3.03
Ce: 0.2500 0.2500 0.7500  6 O 2.25
Eu: 0.0000 0.0000 0.5000  12 O 3.03
Nb: 0.2500 0.2500 0.2500  6 O 2.03
O: 0.0129 0.2500 0.2500  1 Nb 2.03, 1 Ce 2.25

Computed properties:
- Final energy: -8.622 eV/atom
- DOS at the Fermi energy: 28.5 states/eV per cell
- Distance to the lowest polymorph of the same formula: 1.233 eV per formula unit
- Formation energy from raw total energies: -2851.3 meV per atom
- Crystal system: cubic

A relaxed structure of Ti8Zn2Ga, computed with PBE-GGA.

a = 13.8987 Å, b = 4.9322 Å, c = 5.4214 Å
α = 90.00°, β = 92.32°, γ = 90.00°
With the nearest neighbours (Å) after each atom.
Space group C2/m (No. 12)
One atom of each set of equivalent atoms:
Ti: 0.0857 0.0000 0.1115  1 Zn 2.57, 3 Ti 2.63-2.83, 2 Ga 2.79
Ti: 0.0924 0.2417 0.6382  2 Ti 2.38-2.55
Ti: 0.2177 0.5000 0.1059  4 Zn 2.76-2.93, 5 Ti 2.88-3.07, 1 Ga 3.06
Zn: 0.2390 0.0000 0.3935  7 Ti 2.57-2.80, 2 Zn 2.73
Ga: 0.0000 0.5000 0.0000  8 Ti 2.71-2.79

Computed properties:
- Final energy: -6.274 eV/atom
- DOS at the Fermi energy: 22.8 states/eV per cell
- Crystal system: monoclinic

A relaxed structure of NaLiOsF6, computed with PBE-GGA.

a = 5.3069 Å, b = 5.3069 Å, c = 9.9300 Å
α = 90.00°, β = 90.00°, γ = 120.00°
With the nearest neighbours (Å) after each atom.
Space group P-31c (No. 163)
One atom of each set of equivalent atoms:
Na: 0.0000 0.0000 0.0000  6 F 2.35
Li: 0.3333 0.6667 0.2500  6 F 2.08
Os: 0.3333 0.6667 0.7500  6 F 1.98
F: 0.0148 0.3622 0.6410  1 Os 1.98, 1 Li 2.08

Computed properties:
- Final energy: -5.076 eV/atom
- DOS at the Fermi energy: 14.1 states/eV per cell
- Formation energy from raw total energies: -2221.4 meV per atom
- Crystal system: trigonal

Results for size of the total moment: 0.00 5.99 0.00 2.00 (in μB/f.u., following the order of the records).